This record from Alexandria describes a PBEsol-optimized structure of RbNa2ReAs. The functional is meta-GGA SCAN.

abc: 5.675 5.675 4.711
angles: 90.00 90.00 90.00
Positions (direct):
Rb 0.000 0.000 0.000
Na 0.000 0.500 0.500
Na 0.500 0.000 0.500
Re 0.500 0.500 0.500
As 0.500 0.500 0.000

## Properties
- energy (eV for the cell shown) = -118.28
- M_tot (μB/cell) = 1.44

=====

This record from Alexandria describes a PBEsol-optimized structure of InSiSb2Te. The functional is meta-GGA SCAN.

abc: 5.191 5.191 5.276
angles: 90.00 90.00 90.00
Positions (direct):
In 0.000 0.000 0.000
Si 0.500 0.500 0.500
Sb 0.000 0.500 0.500
Sb 0.500 0.000 0.500
Te 0.500 0.500 0.000

## Properties
- energy (eV for the cell shown) = -152.64
- M_tot (μB/cell) = 0.00
- energy above the lowest structure with this stoichiometry (meV/atom) = 0

=====

This record from Alexandria describes a PBEsol-optimized structure of NaInP2O. The functional is meta-GGA SCAN.

abc: 5.148 5.148 4.130
angles: 90.00 90.00 90.00
Positions (direct):
Na 0.000 0.000 0.000
In 0.500 0.500 0.500
P 0.000 0.500 0.500
P 0.500 0.000 0.500
O 0.500 0.500 0.000

## Properties
- energy (eV for the cell shown) = -63.26
- M_tot (μB/cell) = 2.78

=====

This record from Alexandria describes a PBEsol-optimized structure of LaTaBr. The functional is meta-GGA SCAN.

abc: 3.251 3.251 7.570
angles: 90.00 90.00 120.00
Positions (direct):
La 0.000 0.000 0.000
Ta 0.667 0.333 0.639
Br 0.333 0.667 0.390

## Properties
- energy (eV for the cell shown) = -128.94
- M_tot (μB/cell) = 0.78
- energy above the lowest structure with this stoichiometry (meV/atom) = 0

=====

This record from Alexandria describes a PBEsol-optimized structure of KBe2Tc. The functional is meta-GGA SCAN.

abc: 2.517 3.112 7.882
angles: 90.00 90.00 90.00
Positions (direct):
K 0.000 0.000 0.000
Be 0.000 0.000 0.541
Be 0.500 0.500 0.658
Tc 0.500 0.500 0.363

## Properties
- energy (eV for the cell shown) = -49.56
- M_tot (μB/cell) = 0.00
- energy above the lowest structure with this stoichiometry (meV/atom) = 0

=====

This record from Alexandria describes a PBEsol-optimized structure of SrMnAl. The functional is meta-GGA SCAN.

abc: 4.517 4.517 4.332
angles: 90.00 90.00 120.00
Positions (direct):
Sr 0.000 0.000 0.000
Mn 0.333 0.667 0.500
Al 0.667 0.333 0.500

## Properties
- energy (eV for the cell shown) = -48.32
- M_tot (μB/cell) = 3.93

=====

This record from Alexandria describes a PBEsol-optimized structure of Re2HgAs. The functional is meta-GGA SCAN.

abc: 8.890 8.890 8.890
angles: 18.73 18.73 18.73
Positions (direct):
Re 0.240 0.240 0.240
Re 0.760 0.760 0.760
Hg 0.000 0.000 0.000
As 0.500 0.500 0.500

## Properties
- energy (eV for the cell shown) = -228.07
- M_tot (μB/cell) = 0.00
- energy above the lowest structure with this stoichiometry (meV/atom) = 0

=====

This record from Alexandria describes a PBEsol-optimized structure of Te2Cl. The functional is meta-GGA SCAN.

abc: 6.237 6.237 6.237
angles: 115.43 115.43 98.11
Positions (direct):
Te 0.136 0.636 0.773
Te 0.364 0.136 0.500
Te 0.636 0.864 0.500
Te 0.864 0.364 0.227
Cl 0.250 0.250 0.000
Cl 0.750 0.750 0.000

## Properties
- energy (eV for the cell shown) = -163.73
- M_tot (μB/cell) = 0.00
- energy above the lowest structure with this stoichiometry (meV/atom) = 408

=====

This record from Alexandria describes a PBEsol-optimized structure of Fe2CoW. The functional is meta-GGA SCAN.

abc: 2.555 3.514 5.115
angles: 90.00 90.00 90.00
Positions (direct):
Fe 0.000 0.000 0.000
Fe 0.500 0.500 0.222
Co 0.500 0.500 0.764
W 0.000 0.000 0.499

## Properties
- energy (eV for the cell shown) = -122.37
- M_tot (μB/cell) = 1.26
- energy above the lowest structure with this stoichiometry (meV/atom) = 194

=====

This record from Alexandria describes a PBEsol-optimized structure of SrBe2Se2. The functional is meta-GGA SCAN.

abc: 7.564 7.564 3.422
angles: 90.00 90.00 90.00
Positions (direct):
Sr 0.000 0.000 0.000
Sr 0.500 0.500 0.000
Be 0.100 0.400 0.500
Be 0.400 0.900 0.500
Be 0.600 0.100 0.500
Be 0.900 0.600 0.500
Se 0.141 0.641 0.000
Se 0.359 0.141 0.000
Se 0.641 0.859 0.000
Se 0.859 0.359 0.000

## Properties
- energy (eV for the cell shown) = -143.31
- M_tot (μB/cell) = 0.00

=====

This record from Alexandria describes a PBEsol-optimized structure of NaMgPH2. The functional is meta-GGA SCAN.

abc: 3.922 3.922 5.063
angles: 90.00 90.00 90.00
Positions (direct):
Na 0.000 0.000 0.000
Mg 0.500 0.500 0.000
P 0.500 0.500 0.500
H 0.000 0.500 0.500
H 0.500 0.000 0.500

## Properties
- energy (eV for the cell shown) = -23.86
- M_tot (μB/cell) = 0.00

=====

This record from Alexandria describes a PBEsol-optimized structure of NdGa2Co3. The functional is meta-GGA SCAN.

abc: 8.816 8.816 3.949
angles: 90.00 90.00 120.00
Positions (direct):
Nd 0.000 0.000 0.000
Nd 0.333 0.667 0.000
Nd 0.667 0.333 0.000
Ga 0.173 0.346 0.500
Ga 0.173 0.827 0.500
Ga 0.346 0.173 0.500
Ga 0.654 0.827 0.500
Ga 0.827 0.173 0.500
Ga 0.827 0.654 0.500
Co 0.000 0.346 0.000
Co 0.000 0.500 0.500
Co 0.000 0.654 0.000
Co 0.346 0.000 0.000
Co 0.346 0.346 0.000
Co 0.500 0.000 0.500
Co 0.500 0.500 0.500
Co 0.654 0.000 0.000
Co 0.654 0.654 0.000

## Properties
- energy (eV for the cell shown) = -390.11
- M_tot (μB/cell) = 12.56

=====

This record from Alexandria describes a PBEsol-optimized structure of Be2CrFe. The functional is meta-GGA SCAN.

abc: 4.016 4.016 4.072
angles: 99.38 99.38 35.12
Positions (direct):
Be 0.000 0.000 0.000
Be 0.746 0.746 0.206
Cr 0.500 0.500 0.496
Fe 0.259 0.259 0.723

## Properties
- energy (eV for the cell shown) = -45.00
- M_tot (μB/cell) = 0.81
- energy above the lowest structure with this stoichiometry (meV/atom) = 151

=====

This record from Alexandria describes a PBEsol-optimized structure of MgAu4. The functional is meta-GGA SCAN.

abc: 7.307 7.307 7.307
angles: 150.05 150.05 42.87
Positions (direct):
Mg 0.000 0.000 0.000
Au 0.250 0.750 0.500
Au 0.404 0.404 0.000
Au 0.596 0.596 0.000
Au 0.750 0.250 0.500

## Properties
- energy (eV for the cell shown) = -282.74
- M_tot (μB/cell) = 0.00

=====

This record from Alexandria describes a PBEsol-optimized structure of Mn2ReOs. The functional is meta-GGA SCAN.

abc: 8.550 8.550 8.550
angles: 17.76 17.76 17.76
Positions (direct):
Mn 0.249 0.249 0.249
Mn 0.751 0.751 0.751
Re 0.000 0.000 0.000
Os 0.500 0.500 0.500

## Properties
- energy (eV for the cell shown) = -179.25
- M_tot (μB/cell) = 4.94

=====

This record from Alexandria describes a PBEsol-optimized structure of CsAuI2O. The functional is meta-GGA SCAN.

abc: 6.017 6.017 4.030
angles: 90.00 90.00 90.00
Positions (direct):
Cs 0.000 0.000 0.000
Au 0.500 0.500 0.500
I 0.000 0.500 0.500
I 0.500 0.000 0.500
O 0.500 0.500 0.000

## Properties
- energy (eV for the cell shown) = -189.03
- M_tot (μB/cell) = 0.80

=====

This record from Alexandria describes a PBEsol-optimized structure of CaMg. The functional is meta-GGA SCAN.

abc: 11.560 9.712 6.708
angles: 90.00 90.00 90.00
Positions (direct):
Ca 0.126 0.250 0.000
Ca 0.126 0.250 0.500
Ca 0.176 0.629 0.250
Ca 0.176 0.871 0.750
Ca 0.364 0.043 0.250
Ca 0.364 0.457 0.750
Ca 0.636 0.543 0.250
Ca 0.636 0.957 0.750
Ca 0.824 0.129 0.250
Ca 0.824 0.371 0.750
Ca 0.874 0.750 0.000
Ca 0.874 0.750 0.500
Mg 0.077 0.549 0.750
Mg 0.077 0.951 0.250
Mg 0.375 0.109 0.750
Mg 0.375 0.391 0.250
Mg 0.427 0.750 0.000
Mg 0.427 0.750 0.500
Mg 0.573 0.250 0.000
Mg 0.573 0.250 0.500
Mg 0.625 0.609 0.750
Mg 0.625 0.891 0.250
Mg 0.923 0.049 0.750
Mg 0.923 0.451 0.250

## Properties
- energy (eV for the cell shown) = -176.06
- M_tot (μB/cell) = 0.25

=====

This record from Alexandria describes a PBEsol-optimized structure of BaCd2Te. The functional is meta-GGA SCAN.

abc: 4.749 4.749 5.475
angles: 90.00 90.00 90.00
Positions (direct):
Ba 0.000 0.000 0.000
Cd 0.000 0.500 0.500
Cd 0.500 0.000 0.500
Te 0.500 0.500 0.000

## Properties
- energy (eV for the cell shown) = -140.15
- M_tot (μB/cell) = 0.00

=====

This record from Alexandria describes a PBEsol-optimized structure of Ho2MgAl. The functional is meta-GGA SCAN.

abc: 5.108 5.108 5.108
angles: 60.00 60.00 60.00
Positions (direct):
Ho 0.250 0.250 0.250
Ho 0.750 0.750 0.750
Mg 0.000 0.000 0.000
Al 0.500 0.500 0.500

## Properties
- energy (eV for the cell shown) = -111.83
- M_tot (μB/cell) = 0.00

=====

This record from Alexandria describes a PBEsol-optimized structure of Li2CrO3. The functional is meta-GGA SCAN.

abc: 6.325 6.325 5.802
angles: 103.61 103.61 26.04
Positions (direct):
Li 0.000 0.000 0.000
Li 0.000 0.000 0.500
Li 0.340 0.340 0.668
Li 0.660 0.660 0.332
Cr 0.343 0.343 0.181
Cr 0.657 0.657 0.819
O 0.170 0.170 0.611
O 0.174 0.174 0.059
O 0.490 0.490 0.244
O 0.510 0.510 0.756
O 0.826 0.826 0.941
O 0.830 0.830 0.389

## Properties
- energy (eV for the cell shown) = -111.29
- M_tot (μB/cell) = 4.00
- energy above the lowest structure with this stoichiometry (meV/atom) = 50